! FeAgBF2 (GGA+U, relaxed); values from VASP
&SYSTEM
  ibrav = 0, nat = 5, ntyp = 4
/
ATOMIC_SPECIES
Ag 107.87 Ag.upf
F 19.00 F.upf
B 10.81 B.upf
Fe 55.84 Fe.upf
CELL_PARAMETERS angstrom
3.699 0.000 0.000
0.000 3.699 0.000
0.000 0.000 4.776
ATOMIC_POSITIONS crystal
Ag 0.500 0.500 0.500
F 0.000 0.500 0.000
F 0.500 0.000 0.000
B 0.000 0.000 0.000
Fe 0.000 0.000 0.500
! N(E_F)   1.8 states/eV per cell
! Magnetic moment   2.89 Bohr magnetons per cell
! Symmetry   P4/mmm, No. 123
! Total DFT energy (no corrections)   -18.9 eV for the cell shown